Record 1
ErGaGe after structural relaxation, computed with PBE-GGA.

```
ErGaGe
1.0
-2.2169 -2.2648 1.3414
2.0629 -0.4055 2.7246
-2.4098 5.2276 0.4291
Ge Ga Er
1 1 1
direct
0.3051 0.3051 0.6102
0.9291 0.9291 0.8582
0.6158 0.6158 0.2315
```

Values from the calculation:
ΔE_f: -34.55 kJ/mol of atoms
Total energy: -4.4271 eV per atom
Total magnetization: 0.014 μB/cell

=====

Record 2
LaAlTl2 after structural relaxation, computed with PBE-GGA.

```
LaAlTl2
1.0
10.8910 0.0201 0.0118
10.3292 3.4528 0.0118
10.3292 1.6905 3.0107
Tl Al La
2 1 1
direct
0.9976 0.9976 0.9976
0.2448 0.2448 0.2448
0.5024 0.5024 0.5024
0.7551 0.7551 0.7551
```

Values from the calculation:
ΔE_f: 3.31 kJ/mol of atoms
Total energy: -3.3163 eV per atom
ΔE to the lowest computed polymorph: 0.310 eV per atom
Total magnetization: 0.004 μB/cell

=====

Record 3
Li3MgAl2 after structural relaxation, computed with PBE-GGA.

```
Li3MgAl2
1.0
-2.3496 -0.9322 -3.8958
4.9764 0.6387 -3.1542
0.2066 -7.5885 1.6911
Li Mg Al
6 2 4
direct
0.2500 0.0616 0.2334
0.7500 0.9384 0.7666
0.2500 0.2222 0.8762
0.7500 0.7778 0.1238
0.7500 0.6089 0.4482
0.2500 0.3911 0.5518
0.7500 0.2835 0.1109
0.2500 0.7165 0.8891
0.7500 0.4330 0.7674
0.2500 0.5670 0.2326
0.2500 0.8838 0.5422
0.7500 0.1162 0.4578
```

Values from the calculation:
ΔE_f: -10.82 kJ/mol of atoms
Total energy: -2.5824 eV per atom
Total magnetization: 0.000 μB/cell

=====

Listing ρ for the structures above in their given order: 8.294; 8.508; 1.569 g cm⁻³.